A relaxed TiSi2HRh crystal, computed with GGA-PBEsol.

a b c (Å): 3.978 3.978 3.527
angles (deg): 90.00 90.00 90.00
Space group P4/mmm (No. 123)
One atom of each set of equivalent atoms:
Ti: 0.000 0.000 0.000 x1
Si: 0.000 0.500 0.500 x2
H: 0.000 0.000 0.500 x1
Rh: 0.500 0.500 0.000 x1

Output
**DFT total energy**: -6.588 eV/atom

A relaxed NaBeSi3HO8 crystal, computed with GGA-PBEsol.

a b c (Å): 7.305 7.345 13.998
angles (deg): 77.98 77.95 60.82
Space group P-1 (No. 2)
One atom of each set of equivalent atoms:
Na: 0.126 0.334 0.420 x2
Na: 0.186 0.370 0.073 x2
Be: 0.012 0.152 0.997 x2
Be: 0.346 0.489 0.504 x2
Si: 0.140 0.848 0.370 x2
Si: 0.270 0.817 0.144 x2
Si: 0.319 0.775 0.641 x2
Si: 0.350 0.644 0.868 x2
Si: 0.383 0.059 0.862 x2
Si: 0.441 0.119 0.638 x2
H: 0.065 0.419 0.753 x2
H: 0.068 0.625 0.756 x2
O: 0.031 0.429 0.247 x2
O: 0.087 0.944 0.611 x2
O: 0.090 0.925 0.072 x2
O: 0.150 0.653 0.449 x2
O: 0.154 0.652 0.947 x2
O: 0.166 0.796 0.258 x2
O: 0.201 0.197 0.940 x2
O: 0.286 0.681 0.756 x2
O: 0.300 0.302 0.561 x2
O: 0.314 0.924 0.375 x2
O: 0.323 0.171 0.750 x2
O: 0.384 0.967 0.131 x2
O: 0.427 0.589 0.572 x2
O: 0.430 0.813 0.875 x2
O: 0.442 0.584 0.116 x2
O: 0.472 0.885 0.628 x2

Output
**DFT total energy**: -7.398 eV/atom

A relaxed MgAlCd2 crystal, computed with GGA-PBEsol.

a b c (Å): 7.869 7.869 5.813
angles (deg): 90.00 90.00 90.00
Space group I-42d (No. 122)
One atom of each set of equivalent atoms:
Mg: 0.000 0.000 0.000 x4
Al: 0.000 0.000 0.500 x4
Cd: 0.229 0.750 0.625 x8

Output
**Energy of formation**: 208 meV/atom

A relaxed Si7SnN10 crystal, computed with GGA-PBEsol.

a b c (Å): 6.803 6.803 9.702
angles (deg): 90.00 106.28 90.00
Space group Pc (No. 7)
One atom of each set of equivalent atoms:
Si: 0.000 0.024 0.000 x2
Si: 0.050 0.368 0.636 x2
Si: 0.182 0.025 0.307 x2
Si: 0.238 0.382 0.940 x2
Si: 0.425 0.403 0.249 x2
Si: 0.690 0.379 0.014 x2
Si: 0.872 0.363 0.332 x2
Sn: 0.549 0.002 0.155 x2
N: 0.035 0.460 0.799 x2
N: 0.097 0.119 0.654 x2
N: 0.226 0.129 0.962 x2
N: 0.246 0.498 0.099 x2
N: 0.377 0.167 0.290 x2
N: 0.457 0.425 0.887 x2
N: 0.647 0.371 0.190 x2
N: 0.801 0.163 0.003 x2
N: 0.831 0.413 0.497 x2
N: 0.977 0.134 0.353 x2

Output
**Formation energy without anion corrections**: -1.054 eV/atom

A relaxed Cr2IrRh crystal, computed with GGA-PBEsol.

a b c (Å): 2.6278 2.6278 25.3818
angles (deg): 90.00 90.00 120.00
Space group R-3m (No. 166, hexagonal axes)
One atom of each set of equivalent atoms:
Cr: 0.0000 0.0000 0.2503 x6
Ir: 0.0000 0.0000 0.5000 x3
Rh: 0.0000 0.0000 0.0000 x3

Output
**Energy of formation**: 0 meV/atom

A relaxed BaAs2Pt crystal, computed with GGA-PBEsol.

a b c (Å): 4.645 17.098 4.610
angles (deg): 90.00 90.00 90.00
Space group Cmcm (No. 63)
One atom of each set of equivalent atoms:
Ba: 0.000 0.105 0.250 x4
As: 0.000 0.251 0.750 x4
As: 0.000 0.461 0.250 x4
Pt: 0.000 0.313 0.250 x4

Output
**Energy of formation**: -868 meV/atom

A relaxed LaCeB12 crystal, computed with GGA-PBEsol.

a b c (Å): 4.111 4.111 8.223
angles (deg): 90.00 90.00 90.00
Space group P4/mmm (No. 123)
One atom of each set of equivalent atoms:
La: 0.000 0.000 0.000 x1
Ce: 0.000 0.000 0.500 x1
B: 0.199 0.500 0.251 x8
B: 0.500 0.500 0.100 x2
B: 0.500 0.500 0.401 x2

Output
**Energy of formation**: -547 meV/atom

A relaxed CoNiIr2 crystal, computed with GGA-PBEsol.

a b c (Å): 3.710 3.710 7.102
angles (deg): 90.00 90.00 90.00
Space group I4/mmm (No. 139)
One atom of each set of equivalent atoms:
Co: 0.000 0.000 0.000 x2
Ni: 0.000 0.000 0.500 x2
Ir: 0.000 0.500 0.250 x4

Output
**Energy of formation**: 52 meV/atom
**Polymorph energy (0 for the lowest one)**: 58 meV/atom

A relaxed Cu3PbI crystal, computed with GGA-PBEsol.

a b c (Å): 4.894 4.894 4.894
angles (deg): 90.00 90.00 90.00
Space group Pm-3m (No. 221)
One atom of each set of equivalent atoms:
Cu: 0.000 0.000 0.500 x3
Pb: 0.500 0.500 0.500 x1
I: 0.000 0.000 0.000 x1

Output
**Formation energy without anion corrections**: 1.011 eV/atom

A relaxed ZrSc2Mo crystal, computed with GGA-PBEsol.

a b c (Å): 2.867 2.867 9.672
angles (deg): 90.00 90.00 90.00
Space group P4/mmm (No. 123)
One atom of each set of equivalent atoms:
Zr: 0.000 0.000 0.000 x1
Sc: 0.500 0.500 0.273 x2
Mo: 0.000 0.000 0.500 x1

Output
**Energy of formation**: 214 meV/atom
**Polymorph energy (0 for the lowest one)**: 140 meV/atom

A relaxed Mg2PBr crystal, computed with GGA-PBEsol.

a b c (Å): 3.776 3.776 11.985
angles (deg): 90.00 90.00 90.00
Space group I-4m2 (No. 119)
One atom of each set of equivalent atoms:
Mg: 0.000 0.000 0.000 x2
Mg: 0.000 0.500 0.250 x2
P: 0.000 0.000 0.500 x2
Br: 0.000 0.500 0.750 x2

Output
**Formation energy without anion corrections**: -0.297 eV/atom
**Polymorph energy (0 for the lowest one)**: 607 meV/atom

A relaxed Zr2Ga2Tc crystal, computed with GGA-PBEsol.

a b c (Å): 6.808 6.808 3.700
angles (deg): 90.00 90.00 90.00
Space group P4/mbm (No. 127)
One atom of each set of equivalent atoms:
Zr: 0.176 0.324 0.000 x4
Ga: 0.128 0.628 0.500 x4
Tc: 0.000 0.000 0.500 x2

Output
**Energy of formation**: -563 meV/atom

Question: What is the formula in the ninth record?
Answer: Cu3PbI